Entry i
VASP calculation (PBE) on crystalline LaNdEr3 at its relaxed geometry.

## Properties
ρ: 7.818 g/cm³

Geometry as CIF:
```
data_LaNdEr3
_space_group_name_H-M_alt 'P -1'
_space_group_IT_number 2
_cell_length_a 6.612
_cell_length_b 6.728
_cell_length_c 8.162
_cell_angle_alpha 74.36
_cell_angle_beta 72.48
_cell_angle_gamma 84.73
loop_
_space_group_symop_operation_xyz
'x,y,z'
'-x,-y,-z'
loop_
_atom_site_label
_atom_site_type_symbol
_atom_site_fract_x
_atom_site_fract_y
_atom_site_fract_z
La1 La 0.098 0.294 0.142
Nd1 Nd 0.115 0.248 0.667
Er1 Er 0.325 0.844 0.993
Er2 Er 0.337 0.914 0.404
Er3 Er 0.490 0.540 0.710
```


Entry ii
VASP calculation (PBE) on crystalline LaNdEr3 at its relaxed geometry.

## Properties
ρ: 7.717 g/cm³

Geometry as CIF:
```
data_LaNdEr3
_space_group_name_H-M_alt 'P n m a'
_space_group_IT_number 62
_cell_length_a 9.595
_cell_length_b 7.344
_cell_length_c 9.587
_cell_angle_alpha 90.00
_cell_angle_beta 90.00
_cell_angle_gamma 90.00
loop_
_space_group_symop_operation_xyz
'x,y,z'
'-x,-y,-z'
'-x+1/2,-y,z+1/2'
'x+1/2,y,-z+1/2'
'x+1/2,-y+1/2,-z+1/2'
'-x+1/2,y+1/2,z+1/2'
'-x,y+1/2,-z'
'x,-y+1/2,z'
loop_
_atom_site_label
_atom_site_type_symbol
_atom_site_fract_x
_atom_site_fract_y
_atom_site_fract_z
La1 La 0.000 0.000 0.000
Nd1 Nd 0.174 0.250 0.326
Er1 Er 0.122 0.001 0.622
Er2 Er 0.173 0.750 0.327
```


Which is the most stable structure? entry i is the most stable.


Entry i
VASP calculation (PBE) on crystalline La2Nd4Er3 at its relaxed geometry.

## Properties
ρ: 7.325 g/cm³

Geometry as CIF:
```
data_La2Nd4Er3
_space_group_name_H-M_alt 'P -1'
_space_group_IT_number 2
_cell_length_a 5.147
_cell_length_b 6.332
_cell_length_c 10.878
_cell_angle_alpha 73.35
_cell_angle_beta 76.36
_cell_angle_gamma 66.06
loop_
_space_group_symop_operation_xyz
'x,y,z'
'-x,-y,-z'
loop_
_atom_site_label
_atom_site_type_symbol
_atom_site_fract_x
_atom_site_fract_y
_atom_site_fract_z
La1 La 0.166 0.392 0.275
Nd1 Nd 0.166 0.055 0.612
Nd2 Nd 0.498 0.168 0.835
Er1 Er 0.165 0.724 0.946
Er2 Er 0.500 0.500 0.500
```


Entry ii
VASP calculation (PBE) on crystalline La2Nd4Er3 at its relaxed geometry.

## Properties
ρ: 7.222 g/cm³

Geometry as CIF:
```
data_La2Nd4Er3
_space_group_name_H-M_alt 'P 3 m 1'
_space_group_IT_number 156
_cell_length_a 3.6400
_cell_length_b 3.6400
_cell_length_c 27.1820
_cell_angle_alpha 90.00
_cell_angle_beta 90.00
_cell_angle_gamma 120.00
loop_
_space_group_symop_operation_xyz
'x,y,z'
'-y,x-y,z'
'-x+y,-x,z'
'-y,-x,z'
'-x+y,y,z'
'x,x-y,z'
loop_
_atom_site_label
_atom_site_type_symbol
_atom_site_fract_x
_atom_site_fract_y
_atom_site_fract_z
La1 La 0.0000 0.0000 0.0000
La2 La 0.0000 0.0000 0.2138
Nd1 Nd 0.0000 0.0000 0.3483
Nd2 Nd 0.0000 0.0000 0.5583
Nd3 Nd 0.3333 0.6667 0.6718
Nd4 Nd 0.3333 0.6667 0.8831
Er1 Er 0.0000 0.0000 0.7779
Er2 Er 0.3333 0.6667 0.1082
Er3 Er 0.3333 0.6667 0.4517
```


Which is the most stable structure? entry i is the most stable.